Record 1
Below is an optimized crystal structure of Ba3Cd4Rh4, with properties calculated at the PBE level. Values from VASP.

## Properties
- crystal system = cubic
- VASP energy (eV per atom) = -3.5905
- ΔH_f (0 K) (eV per atom) = -0.060
- density of states at the Fermi level (states/eV/f.u.) = 8.27

Quantum ESPRESSO input file:
```
&SYSTEM
  ibrav = 0, nat = 11, ntyp = 3
/
ATOMIC_SPECIES
Ba 137.33 Ba.upf
Cd 112.41 Cd.upf
Rh 102.91 Rh.upf
CELL_PARAMETERS angstrom
-4.2156 4.2156 4.2156
4.2156 -4.2156 4.2156
4.2156 4.2156 -4.2156
ATOMIC_POSITIONS angstrom
Ba 4.2156 0.0000 0.0000
Ba 0.0000 4.2156 0.0000
Ba 0.0000 0.0000 4.2156
Cd 3.0819 3.0819 -3.0819
Cd 3.0819 -3.0819 3.0819
Cd 1.1337 1.1337 1.1337
Cd -3.0819 3.0819 3.0819
Rh 1.5518 1.5518 -1.5518
Rh 1.5518 -1.5518 1.5518
Rh -1.5518 1.5518 1.5518
Rh 2.6638 2.6638 2.6638
```


Record 2
Below is an optimized crystal structure of NiAu3, with properties calculated at the PBE level. Values from VASP.

## Properties
- crystal system = cubic
- VASP energy (eV per atom) = -3.8071
- ΔH_f (0 K) (eV per atom) = 0.096
- density of states at the Fermi level (states/eV/f.u.) = 3.99

Quantum ESPRESSO input file:
```
&SYSTEM
  ibrav = 0, nat = 4, ntyp = 2
/
ATOMIC_SPECIES
Ni 58.69 Ni.upf
Au 196.97 Au.upf
CELL_PARAMETERS angstrom
4.0295 0.0000 0.0000
0.0000 4.0295 0.0000
0.0000 0.0000 4.0295
ATOMIC_POSITIONS angstrom
Ni 0.0000 0.0000 0.0000
Au 0.0000 2.0147 2.0147
Au 2.0147 0.0000 2.0147
Au 2.0147 2.0147 0.0000
```


Record 3
Below is an optimized crystal structure of KPm2TlO5, with properties calculated at the PBE level. Values from VASP.

## Properties
- crystal system = tetragonal
- VASP energy (eV per atom) = -6.4144
- raw formation energy (meV/atom) = -2219

Quantum ESPRESSO input file:
```
&SYSTEM
  ibrav = 0, nat = 18, ntyp = 4
/
ATOMIC_SPECIES
K 39.10 K.upf
Pm 145.00 Pm.upf
Tl 204.38 Tl.upf
O 16.00 O.upf
CELL_PARAMETERS angstrom
-3.4170 3.4170 6.2516
3.4170 -3.4170 6.2516
3.4170 3.4170 -6.2516
ATOMIC_POSITIONS angstrom
K 0.0000 0.0000 3.1258
K 0.0000 0.0000 9.3774
Pm 4.6295 1.2124 0.0000
Pm 1.2124 2.2046 0.0000
Pm 2.2046 1.2124 6.2516
Pm -1.2124 2.2046 6.2516
Tl 3.4170 0.0000 3.1258
Tl 0.0000 3.4170 3.1258
O 0.0000 0.0000 0.0000
O 2.4431 0.9739 -1.4823
O 2.4431 -0.9739 4.7693
O 2.4431 0.9739 1.4823
O 2.4431 -0.9739 7.7339
O 0.0000 0.0000 6.2516
O 0.9739 4.3910 -1.4823
O 0.9739 2.4431 4.7693
O 0.9739 4.3910 1.4823
O 0.9739 2.4431 7.7339
```


Record 4
Below is an optimized crystal structure of NaTiPt2, with properties calculated at the PBE level. Values from VASP.

## Properties
- crystal system = trigonal
- VASP energy (eV per atom) = -5.7483
- ΔH_f (0 K) (eV per atom) = -0.424
- density of states at the Fermi level (states/eV/f.u.) = 1.95

Quantum ESPRESSO input file:
```
&SYSTEM
  ibrav = 0, nat = 4, ntyp = 3
/
ATOMIC_SPECIES
Na 22.99 Na.upf
Ti 47.87 Ti.upf
Pt 195.08 Pt.upf
CELL_PARAMETERS angstrom
1.4502 0.8373 9.3377
-1.4502 0.8373 9.3377
0.0000 -1.6745 9.3377
ATOMIC_POSITIONS angstrom
Na 0.0000 0.0000 0.0000
Ti 0.0000 0.0000 14.0065
Pt 0.0000 0.0000 6.7679
Pt 0.0000 0.0000 21.2451
```


Record 5
Below is an optimized crystal structure of InAu, with properties calculated at the PBE level. Values from VASP.

## Properties
- crystal system = orthorhombic
- VASP energy (eV per atom) = -3.0527
- ΔH_f (0 K) (eV per atom) = -0.045
- density of states at the Fermi level (states/eV/f.u.) = 0.76

Quantum ESPRESSO input file:
```
&SYSTEM
  ibrav = 0, nat = 8, ntyp = 2
/
ATOMIC_SPECIES
In 114.82 In.upf
Au 196.97 Au.upf
CELL_PARAMETERS angstrom
0.0000 3.9359 6.9486
3.7523 0.0000 6.9486
3.7523 3.9359 0.0000
ATOMIC_POSITIONS angstrom
In 2.8142 0.4584 5.2115
In 4.6903 2.4263 8.6858
In 2.8142 5.4454 5.2115
In 4.6903 7.4133 8.6858
Au 2.8142 2.9519 3.7649
Au 2.8142 2.9519 6.6581
Au 4.6903 4.9198 7.2392
Au 4.6903 4.9198 10.1324
```


Record 6
Below is an optimized crystal structure of ReF3, with properties calculated at the PBE level. Values from VASP.

## Properties
- crystal system = cubic
- VASP energy (eV per atom) = -5.0813
- raw formation energy (meV/atom) = -566
- density of states at the Fermi level (states/eV/f.u.) = 2.93
- polymorph energy (0 for the lowest one) (meV per atom) = 134

Quantum ESPRESSO input file:
```
&SYSTEM
  ibrav = 0, nat = 4, ntyp = 2
/
ATOMIC_SPECIES
Re 186.21 Re.upf
F 19.00 F.upf
CELL_PARAMETERS angstrom
0.0000 2.7616 2.7616
2.7616 0.0000 2.7616
2.7616 2.7616 0.0000
ATOMIC_POSITIONS angstrom
Re 0.0000 0.0000 0.0000
F 1.3808 1.3808 1.3808
F 2.7616 2.7616 2.7616
F 4.1425 4.1425 4.1425
```


Record 7
Below is an optimized crystal structure of Cr2CoMoN, with properties calculated at the PBE level. Values from VASP.

## Properties
- crystal system = tetragonal
- VASP energy (eV per atom) = -9.2057
- raw formation energy (meV/atom) = -104
- density of states at the Fermi level (states/eV/f.u.) = 3.67
- polymorph energy (0 for the lowest one) (meV per atom) = 0

Quantum ESPRESSO input file:
```
&SYSTEM
  ibrav = 0, nat = 5, ntyp = 4
/
ATOMIC_SPECIES
Cr 52.00 Cr.upf
Co 58.93 Co.upf
Mo 95.94 Mo.upf
N 14.01 N.upf
CELL_PARAMETERS angstrom
3.8573 0.0000 0.0000
0.0000 3.8573 0.0000
0.0000 0.0000 3.7140
ATOMIC_POSITIONS angstrom
Cr 0.0000 1.9286 0.0000
Cr 1.9286 0.0000 0.0000
Co 0.0000 0.0000 1.8570
Mo 1.9286 1.9286 1.8570
N 0.0000 0.0000 0.0000
```


Record 8
Below is an optimized crystal structure of La2PmCd, with properties calculated at the PBE level. Values from VASP.

## Properties
- crystal system = cubic
- VASP energy (eV per atom) = -3.9288
- ΔH_f (0 K) (eV per atom) = -0.049
- density of states at the Fermi level (states/eV/f.u.) = 6.27
- polymorph energy (0 for the lowest one) (meV per atom) = 100

Quantum ESPRESSO input file:
```
&SYSTEM
  ibrav = 0, nat = 4, ntyp = 3
/
ATOMIC_SPECIES
La 138.91 La.upf
Pm 145.00 Pm.upf
Cd 112.41 Cd.upf
CELL_PARAMETERS angstrom
0.0000 4.0189 4.0189
4.0189 0.0000 4.0189
4.0189 4.0189 0.0000
ATOMIC_POSITIONS angstrom
La 2.0094 2.0094 2.0094
La 6.0283 6.0283 6.0283
Pm 0.0000 0.0000 0.0000
Cd 4.0189 4.0189 4.0189
```